# 1
A plane-wave DFT calculation with PBE-GGA was carried out for a relaxed MnNbAg2Te crystal.

Results
**Crystal system**: tetragonal
**Formation energy (no corrections)**: 1.10 eV/atom
**Space-group type**: P4/mmm, No. 123

a = 5.2599 Å, b = 5.2599 Å, c = 5.2002 Å
α = 90.00°, β = 90.00°, γ = 90.00°
Fractional positions:
Mn 0.0000 0.0000 0.0000
Nb 0.5000 0.5000 0.5000
Ag 0.0000 0.5000 0.5000
Ag 0.5000 0.0000 0.5000
Te 0.5000 0.5000 0.0000

=====

# 2
A plane-wave DFT calculation with PBE-GGA was carried out for a relaxed NdMnAg4 crystal.

Results
**Crystal system**: cubic
**Formation enthalpy at 0 K**: 5.2 kJ/mol of atoms
**Space-group type**: F-43m, No. 216

a = 5.5947 Å, b = 5.5947 Å, c = 5.5947 Å
α = 60.00°, β = 60.00°, γ = 60.00°
Fractional positions:
Nd 0.0000 0.0000 0.0000
Mn 0.7500 0.7500 0.7500
Ag 0.3758 0.3758 0.3758
Ag 0.3758 0.3758 0.8726
Ag 0.3758 0.8726 0.3758
Ag 0.8726 0.3758 0.3758